No. 1
Compound: Sc3MnRh4
Source: the Alexandria database
Functional: PBE
Structure: optimized geometry

a = 3.202 Å, b = 3.202 Å, c = 12.614 Å
α = 90.00°, β = 90.00°, γ = 90.00°
Last column: magnetic moment on the atom in μB.
Fractional coordinates of all 8 atoms:
Sc: 0.500 0.500 0.241  -0.01
Sc: 0.500 0.500 0.500  0.00
Sc: 0.500 0.500 0.759  -0.01
Mn: 0.500 0.500 0.000  3.85
Rh: 0.000 0.000 0.882  0.32
Rh: 0.000 0.000 0.118  0.32
Rh: 0.000 0.000 0.372  0.01
Rh: 0.000 0.000 0.628  0.01

Summary:
Space group   P4/mmm


No. 2
Compound: Sc2MnRh
Source: the Alexandria database
Functional: PBE
Structure: optimized geometry

a = 3.185 Å, b = 4.629 Å, c = 4.629 Å
α = 90.00°, β = 90.00°, γ = 90.00°
Last column: magnetic moment on the atom in μB.
Fractional coordinates of all 4 atoms:
Sc: 0.000 0.000 0.500  -0.19
Sc: 0.000 0.500 0.000  -0.19
Mn: 0.500 0.500 0.500  2.79
Rh: 0.500 0.000 0.000  0.10

Summary:
Space group   P4/mmm


no.,E_form (eV per atom),total magnetic moment (μB/f.u.),ρ (Mg/m³)
1,-0.812,4.62,7.724
2,-0.447,2.46,6.028